## NbZnGa2 (GGA-PBE)

Data for an optimized crystal structure of NbZnGa2.

Geometry as POSCAR:
```
NbZnGa2
1.0
-1.174 1.792 3.106
-3.433 0.384 -1.518
1.064 -5.028 1.012
Nb Zn Ga
1 1 2
direct
0.000 0.000 0.000 Nb
0.250 0.750 0.500 Zn
0.500 0.500 0.000 Ga
0.750 0.250 0.500 Ga
```

Properties
Symmetry: I-4m2, No. 119
Crystal system: tetragonal
Energy of formation from the pure elements: -1.0 eV per formula unit
V: 64.2 Å³ per cell